1.
Sc2Zn2Cu15 | Alexandria via LeMat-Bulk | PBE | relaxed; ΔH_f (0 K) = -0.1006 eV/atom; N(E_F) = 8.5 states/eV/f.u.; density = 7.54 g/cm³; symmetry = No. 166; final energy = -0.304 Ry per atom
1.0
4.232 2.443 4.168
-4.232 2.443 4.168
0.000 -4.886 4.168
Sc Zn Cu
2 2 15
Cartesian
0.000 0.000 1.876
0.000 0.000 10.629
0.000 0.000 4.957
0.000 0.000 7.548
-2.116 -1.222 4.168
0.000 -2.478 4.004
-2.146 1.239 4.004
-1.292 -2.239 6.252
-2.585 0.000 6.252
-2.146 -1.239 8.501
-2.116 1.222 8.337
1.292 -2.239 6.252
0.000 2.443 4.168
-1.292 2.239 6.252
2.146 1.239 4.004
2.585 0.000 6.252
1.292 2.239 6.252
2.146 -1.239 8.501
0.000 2.478 8.501

2.
Sc2ZnCu3 | Alexandria via LeMat-Bulk | PBE | relaxed; ΔH_f (0 K) = -0.2428 eV/atom; polymorph energy (0 for the lowest one) = 33 meV per atom; N(E_F) = 4.2 states/eV/f.u.; density = 5.95 g/cm³; symmetry = No. 69; final energy = -0.339 Ry per atom
1.0
0.000 4.293 7.422
3.032 0.000 7.422
3.032 4.293 0.000
Sc Zn Cu
4 2 6
Cartesian
4.565 4.293 7.422
1.516 2.147 3.711
4.548 6.440 11.133
1.499 4.293 7.422
3.032 4.293 4.950
3.032 4.293 9.894
3.032 4.293 2.467
3.032 2.145 6.186
3.032 2.145 8.659
3.032 6.442 6.186
3.032 6.442 8.659
3.032 4.293 12.378